# NpTlCdCl6

An optimized crystal structure of NpTlCdCl6 (GGA-PBE, Alexandria).

POSCAR file:
```
NpTlCdCl6
1.0
7.115 0.000 0.000
-3.557 6.162 0.000
0.000 0.000 13.755
Np Tl Cd Cl
2 2 2 12
Direct
0.333 0.667 0.250 Np
0.667 0.333 0.750 Np
0.000 0.000 0.000 Tl
0.000 0.000 0.500 Tl
0.333 0.667 0.750 Cd
0.667 0.333 0.250 Cd
0.007 0.376 0.640 Cl
0.007 0.631 0.860 Cl
0.369 0.376 0.860 Cl
0.369 0.993 0.640 Cl
0.376 0.007 0.140 Cl
0.376 0.369 0.360 Cl
0.624 0.631 0.640 Cl
0.624 0.993 0.860 Cl
0.631 0.007 0.360 Cl
0.631 0.624 0.140 Cl
0.993 0.369 0.140 Cl
0.993 0.624 0.360 Cl
```

Summary:
E	-39.51	eV/f.u.
total moment	4.0	μB/f.u.
V	603.0	Å³ per cell
crystal system	trigonal